Entry P
The following is a DFT calculation (PBE-GGA) of a relaxed Zr3AuC crystal.

a = 7.640 Å, b = 7.640 Å, c = 3.391 Å
α = 90.00°, β = 90.00°, γ = 108.05°
Sites, in units of the cell vectors:
Zr  0.168  0.431  0.500
Zr  0.198  0.802  0.000
Zr  0.431  0.168  0.500
Zr  0.569  0.832  0.500
Zr  0.802  0.198  0.000
Zr  0.832  0.569  0.500
Au  0.000  0.000  0.500
Au  0.500  0.500  0.000
C  0.000  0.500  0.000
C  0.500  0.000  0.000

Results
As for the space group: Cmmm (65).

***

Entry Q
The following is a DFT calculation (PBE-GGA) of a relaxed Zr3AuC crystal.

a = 6.150 Å, b = 6.150 Å, c = 9.140 Å
α = 90.00°, β = 90.00°, γ = 147.87°
Sites, in units of the cell vectors:
Zr  0.049  0.951  0.750
Zr  0.374  0.626  0.551
Zr  0.374  0.626  0.949
Zr  0.626  0.374  0.051
Zr  0.626  0.374  0.449
Zr  0.951  0.049  0.250
Au  0.251  0.749  0.250
Au  0.749  0.251  0.750
C  0.000  0.000  0.000
C  0.000  0.000  0.500

Results
As for the space group: Cmcm (63).

***

Result of the stability comparison: entry Q is the most stable of them.

***

Entry P
The following is a DFT calculation (PBE-GGA) of a relaxed CaAu12 crystal.

a = 8.098 Å, b = 8.098 Å, c = 8.098 Å
α = 60.00°, β = 60.00°, γ = 60.00°
Sites, in units of the cell vectors:
Ca  0.000  0.000  0.000
Au  0.161  0.500  0.500
Au  0.161  0.500  0.839
Au  0.161  0.839  0.500
Au  0.500  0.161  0.500
Au  0.500  0.161  0.839
Au  0.500  0.500  0.161
Au  0.500  0.500  0.839
Au  0.500  0.839  0.161
Au  0.500  0.839  0.500
Au  0.839  0.161  0.500
Au  0.839  0.500  0.161
Au  0.839  0.500  0.500

Results
As for the space group: Fm-3m (225).

***

Entry Q
The following is a DFT calculation (PBE-GGA) of a relaxed CaAu12 crystal.

a = 7.287 Å, b = 7.287 Å, c = 7.287 Å
α = 98.88°, β = 98.88°, γ = 133.73°
Sites, in units of the cell vectors:
Ca  0.000  0.000  0.000
Au  0.000  0.000  0.500
Au  0.000  0.347  0.347
Au  0.000  0.500  0.000
Au  0.000  0.653  0.653
Au  0.284  0.500  0.784
Au  0.347  0.000  0.347
Au  0.500  0.000  0.000
Au  0.500  0.284  0.784
Au  0.500  0.500  0.500
Au  0.500  0.716  0.216
Au  0.653  0.000  0.653
Au  0.716  0.500  0.216

Results
As for the space group: I4/mmm (139).

***

Result of the stability comparison: entry Q is the most stable of them.

***

Entry P
The following is a DFT calculation (PBE-GGA) of a relaxed Ca3Au4 crystal.

a = 8.204 Å, b = 8.204 Å, c = 8.204 Å
α = 114.07°, β = 114.07°, γ = 114.07°
Sites, in units of the cell vectors:
Ca  0.028  0.281  0.401
Ca  0.281  0.401  0.028
Ca  0.401  0.028  0.281
Ca  0.599  0.972  0.719
Ca  0.719  0.599  0.972
Ca  0.972  0.719  0.599
Au  0.000  0.000  0.000
Au  0.057  0.555  0.223
Au  0.223  0.057  0.555
Au  0.445  0.777  0.943
Au  0.500  0.500  0.500
Au  0.555  0.223  0.057
Au  0.777  0.943  0.445
Au  0.943  0.445  0.777

Results
As for the space group: R-3 (148).

***

Entry Q
The following is a DFT calculation (PBE-GGA) of a relaxed Ca3Au4 crystal.

a = 6.657 Å, b = 6.657 Å, c = 5.026 Å
α = 90.00°, β = 90.00°, γ = 120.00°
Sites, in units of the cell vectors:
Ca  0.000  0.500  0.000
Ca  0.500  0.000  0.000
Ca  0.500  0.500  0.000
Au  0.000  0.000  0.250
Au  0.000  0.000  0.750
Au  0.333  0.667  0.500
Au  0.667  0.333  0.500

Results
As for the space group: P6/mmm (191).

***

Entry R
The following is a DFT calculation (PBE-GGA) of a relaxed Ca3Au4 crystal.

a = 11.362 Å, b = 11.362 Å, c = 11.362 Å
α = 160.00°, β = 160.00°, γ = 28.43°
Sites, in units of the cell vectors:
Ca  0.000  0.000  0.000
Ca  0.305  0.305  0.000
Ca  0.695  0.695  0.000
Au  0.146  0.146  0.000
Au  0.436  0.436  0.000
Au  0.564  0.564  0.000
Au  0.854  0.854  0.000

Results
As for the space group: I4/mmm (139).

***

Result of the stability comparison: entry P is the most stable of them.

***

Entry P
The following is a DFT calculation (PBE-GGA) of a relaxed Ca5Au crystal.

a = 8.494 Å, b = 8.494 Å, c = 5.806 Å
α = 90.00°, β = 90.00°, γ = 150.53°
Sites, in units of the cell vectors:
Ca  0.000  0.000  0.000
Ca  0.137  0.863  0.500
Ca  0.333  0.667  0.000
Ca  0.667  0.333  0.000
Ca  0.863  0.137  0.500
Au  0.500  0.500  0.500

Results
As for the space group: Cmmm (65).

***

Entry Q
The following is a DFT calculation (PBE-GGA) of a relaxed Ca5Au crystal.

a = 6.849 Å, b = 6.849 Å, c = 9.156 Å
α = 111.00°, β = 111.00°, γ = 32.45°
Sites, in units of the cell vectors:
Ca  0.000  0.000  0.000
Ca  0.045  0.045  0.414
Ca  0.296  0.296  0.161
Ca  0.342  0.342  0.575
Ca  0.671  0.671  0.787
Au  0.671  0.671  0.288

Results
As for the space group: Cm (8).

***

Entry R
The following is a DFT calculation (PBE-GGA) of a relaxed Ca5Au crystal.

a = 6.436 Å, b = 6.436 Å, c = 5.683 Å
α = 90.00°, β = 90.00°, γ = 120.00°
Sites, in units of the cell vectors:
Ca  0.000  0.693  0.000
Ca  0.307  0.307  0.000
Ca  0.333  0.667  0.500
Ca  0.667  0.333  0.500
Ca  0.693  0.000  0.000
Au  0.000  0.000  0.500

Results
As for the space group: P-62m (189).

***

Result of the stability comparison: entry Q is the most stable of them.

***

Entry P
The following is a DFT calculation (PBE-GGA) of a relaxed CaAu6 crystal.

a = 9.172 Å, b = 5.603 Å, c = 11.224 Å
α = 90.00°, β = 90.00°, γ = 90.00°
Sites, in units of the cell vectors:
Ca  0.236  0.250  0.067
Ca  0.264  0.750  0.567
Ca  0.736  0.250  0.433
Ca  0.764  0.750  0.933
Au  0.054  0.007  0.309
Au  0.054  0.493  0.309
Au  0.064  0.750  0.081
Au  0.122  0.250  0.523
Au  0.155  0.750  0.846
Au  0.190  0.250  0.774
Au  0.310  0.750  0.274
Au  0.345  0.250  0.346
Au  0.378  0.750  0.023
Au  0.436  0.250  0.581
Au  0.446  0.507  0.809
Au  0.446  0.993  0.809
Au  0.554  0.007  0.191
Au  0.554  0.493  0.191
Au  0.564  0.750  0.419
Au  0.622  0.250  0.977
Au  0.655  0.750  0.654
Au  0.690  0.250  0.726
Au  0.810  0.750  0.226
Au  0.845  0.250  0.154
Au  0.878  0.750  0.477
Au  0.936  0.250  0.919
Au  0.946  0.507  0.691
Au  0.946  0.993  0.691

Results
As for the space group: Pnma (62).

***

Entry Q
The following is a DFT calculation (PBE-GGA) of a relaxed CaAu6 crystal.

a = 6.452 Å, b = 6.452 Å, c = 6.452 Å
α = 109.47°, β = 109.47°, γ = 109.47°
Sites, in units of the cell vectors:
Ca  0.000  0.000  0.000
Au  0.250  0.500  0.750
Au  0.250  0.750  0.500
Au  0.500  0.250  0.750
Au  0.500  0.750  0.250
Au  0.750  0.250  0.500
Au  0.750  0.500  0.250

Results
As for the space group: Im-3m (229).

***

Entry R
The following is a DFT calculation (PBE-GGA) of a relaxed CaAu6 crystal.

a = 6.455 Å, b = 6.455 Å, c = 6.455 Å
α = 90.00°, β = 90.00°, γ = 90.00°
Sites, in units of the cell vectors:
Ca  0.000  0.000  0.000
Au  0.196  0.500  0.500
Au  0.500  0.196  0.500
Au  0.500  0.500  0.196
Au  0.500  0.500  0.804
Au  0.500  0.804  0.500
Au  0.804  0.500  0.500

Results
As for the space group: Pm-3m (221).

***

Result of the stability comparison: entry P is the most stable of them.

***

Entry P
The following is a DFT calculation (PBE-GGA) of a relaxed CaCd2Au6 crystal.

a = 8.062 Å, b = 8.062 Å, c = 5.194 Å
α = 99.08°, β = 99.08°, γ = 142.56°
Sites, in units of the cell vectors:
Ca  0.000  0.000  0.000
Cd  0.160  0.840  0.500
Cd  0.840  0.160  0.500
Au  0.173  0.516  0.174
Au  0.339  0.339  0.669
Au  0.484  0.827  0.826
Au  0.516  0.173  0.174
Au  0.661  0.661  0.331
Au  0.827  0.484  0.826

Results
As for the space group: C2/m (12).

***

Entry Q
The following is a DFT calculation (PBE-GGA) of a relaxed CaCd2Au6 crystal.

a = 8.275 Å, b = 8.275 Å, c = 8.275 Å
α = 155.54°, β = 124.48°, γ = 61.55°
Sites, in units of the cell vectors:
Ca  0.000  0.000  0.000
Cd  0.356  0.856  0.500
Cd  0.644  0.144  0.500
Au  0.004  0.323  0.681
Au  0.321  0.500  0.821
Au  0.358  0.677  0.681
Au  0.642  0.323  0.319
Au  0.679  0.500  0.179
Au  0.996  0.677  0.319

Results
As for the space group: Immm (71).

***

Result of the stability comparison: entry P is the most stable of them.

***

Entry P
The following is a DFT calculation (PBE-GGA) of a relaxed Ca4CdAu2 crystal.

a = 5.321 Å, b = 5.321 Å, c = 15.971 Å
α = 90.00°, β = 90.00°, γ = 120.04°
Sites, in units of the cell vectors:
Ca  0.000  0.000  0.000
Ca  0.000  0.000  0.500
Ca  0.333  0.667  0.627
Ca  0.333  0.667  0.873
Ca  0.334  0.666  0.250
Ca  0.666  0.334  0.750
Ca  0.667  0.333  0.127
Ca  0.667  0.333  0.373
Cd  0.001  0.999  0.250
Cd  0.999  0.001  0.750
Au  0.334  0.666  0.062
Au  0.334  0.666  0.438
Au  0.666  0.334  0.562
Au  0.666  0.334  0.938

Results
As for the space group: Cmcm (63).

***

Entry Q
The following is a DFT calculation (PBE-GGA) of a relaxed Ca4CdAu2 crystal.

a = 10.435 Å, b = 10.435 Å, c = 10.435 Å
α = 27.52°, β = 27.52°, γ = 27.52°
Sites, in units of the cell vectors:
Ca  0.114  0.114  0.114
Ca  0.298  0.298  0.298
Ca  0.702  0.702  0.702
Ca  0.886  0.886  0.886
Cd  0.500  0.500  0.500
Au  0.403  0.403  0.403
Au  0.597  0.597  0.597

Results
As for the space group: R-3m (166).

***

Result of the stability comparison: entry P is the most stable of them.

***

Entry P
The following is a DFT calculation (PBE-GGA) of a relaxed CaCdAu6 crystal.

a = 5.431 Å, b = 5.431 Å, c = 5.431 Å
α = 90.00°, β = 90.00°, γ = 90.00°
Sites, in units of the cell vectors:
Ca  0.000  0.000  0.000
Cd  0.500  0.500  0.500
Au  0.000  0.251  0.500
Au  0.000  0.749  0.500
Au  0.251  0.500  0.000
Au  0.500  0.000  0.251
Au  0.500  0.000  0.749
Au  0.749  0.500  0.000

Results
As for the space group: Pm-3 (200).

***

Entry Q
The following is a DFT calculation (PBE-GGA) of a relaxed CaCdAu6 crystal.

a = 4.944 Å, b = 6.073 Å, c = 5.172 Å
α = 90.00°, β = 90.00°, γ = 90.00°
Sites, in units of the cell vectors:
Ca  0.000  0.000  0.000
Cd  0.500  0.500  0.333
Au  0.000  0.259  0.497
Au  0.000  0.500  0.994
Au  0.000  0.741  0.497
Au  0.500  0.000  0.362
Au  0.500  0.257  0.839
Au  0.500  0.743  0.839

Results
As for the space group: Pmm2 (25).

***

Result of the stability comparison: entry Q is the most stable of them.

***

Entry P
The following is a DFT calculation (PBE-GGA) of a relaxed Ca3CdAu3 crystal.

a = 9.050 Å, b = 9.050 Å, c = 5.980 Å
α = 90.00°, β = 90.00°, γ = 120.00°
Sites, in units of the cell vectors:
Ca  0.047  0.687  0.250
Ca  0.313  0.360  0.250
Ca  0.360  0.047  0.750
Ca  0.640  0.953  0.250
Ca  0.687  0.640  0.750
Ca  0.953  0.313  0.750
Cd  0.333  0.667  0.750
Cd  0.667  0.333  0.250
Au  0.034  0.684  0.750
Au  0.316  0.350  0.750
Au  0.350  0.034  0.250
Au  0.650  0.966  0.750
Au  0.684  0.650  0.250
Au  0.966  0.316  0.250

Results
As for the space group: P6_3/m (176).

***

Entry Q
The following is a DFT calculation (PBE-GGA) of a relaxed Ca3CdAu3 crystal.

a = 6.226 Å, b = 6.226 Å, c = 15.131 Å
α = 107.40°, β = 107.40°, γ = 40.26°
Sites, in units of the cell vectors:
Ca  0.008  0.008  0.376
Ca  0.111  0.111  0.925
Ca  0.232  0.232  0.223
Ca  0.768  0.768  0.777
Ca  0.889  0.889  0.075
Ca  0.992  0.992  0.624
Cd  0.280  0.280  0.608
Cd  0.720  0.720  0.392
Au  0.376  0.376  0.453
Au  0.386  0.386  0.925
Au  0.490  0.490  0.773
Au  0.510  0.510  0.227
Au  0.614  0.614  0.075
Au  0.624  0.624  0.547

Results
As for the space group: C2/m (12).

***

Result of the stability comparison: entry Q is the most stable of them.